# GGA-PBE SrCr2Ir, relaxed
# Excess energy over the best structure of this formula in the dataset ... 181 meV/atom
data_SrCr2Ir
_chemical_formula_sum 'Sr1 Cr2 Ir1'
_symmetry_space_group_name_H-M 'P 1'
_symmetry_Int_Tables_number 1
_cell_length_a 3.158
_cell_length_b 3.158
_cell_length_c 8.092
_cell_angle_alpha 90.00
_cell_angle_beta 90.00
_cell_angle_gamma 90.00
loop_
_symmetry_equiv_pos_as_xyz
'x,y,z'
loop_
_atom_site_label
_atom_site_fract_x
_atom_site_fract_y
_atom_site_fract_z
_atom_site_occupancy
Cr1 0.000 0.000 0.428 1
Cr2 0.000 0.000 0.072 1
Sr1 0.500 0.500 0.750 1
Ir1 0.500 0.500 0.250 1